No. 1
A relaxed structure of Sm3Sb5Se12. Source: Alexandria, functional PBE.

a b c (Å): 14.7386 14.7386 14.7386
angles (deg): 109.47 109.47 109.47
With the nearest neighbours (Å) after each atom.
Positions (direct):
Se 0.9477 0.5853 0.1692  2 Sb 2.74-2.87
Se 0.4160 0.1376 0.5853  2 Sb 2.74-2.87
Se 0.5523 0.2215 0.1376  2 Sb 2.74-2.87
Se 0.0523 0.6376 0.7215  2 Sb 2.74-2.87
Se 0.7785 0.4477 0.3624  2 Sb 2.74-2.87
Se 0.5853 0.9477 0.6692  2 Sb 2.74-2.87
Se 0.3308 0.7785 0.4160  2 Sb 2.74-2.87
Se 0.8624 0.5840 0.9147  2 Sb 2.74-2.87
Se 0.0840 0.9147 0.3624  2 Sb 2.74-2.87
Se 0.2785 0.8624 0.9477  2 Sb 2.74-2.87
Se 0.4477 0.6692 0.0853  2 Sb 2.74-2.87
Se 0.9147 0.8308 0.5523  2 Sb 2.74-2.87
Se 0.6692 0.4477 0.5853  2 Sb 2.74-2.87
Se 0.6376 0.0523 0.2215  2 Sb 2.74-2.87
Se 0.0523 0.4147 0.8308  2 Sb 2.74-2.87
Se 0.0853 0.1692 0.4477  2 Sb 2.74-2.87
Se 0.8624 0.2785 0.4477  2 Sb 2.74-2.87
Se 0.7215 0.5840 0.1692  2 Sb 2.74-2.87
Se 0.1376 0.7215 0.5523  2 Sb 2.74-2.87
Se 0.3624 0.9477 0.7785  2 Sb 2.74-2.87
Se 0.7215 0.1376 0.0523  2 Sb 2.74-2.87
Se 0.6376 0.5853 0.9160  2 Sb 2.74-2.87
Se 0.6692 0.2215 0.5840  2 Sb 2.74-2.87
Se 0.9160 0.8308 0.7785  2 Sb 2.74-2.87
Se 0.2215 0.6692 0.0840  2 Sb 2.74-2.87
Se 0.1692 0.0853 0.9477  2 Sb 2.74-2.87
Se 0.0853 0.9160 0.1376  2 Sb 2.74-2.87
Se 0.1376 0.4160 0.0853  2 Sb 2.74-2.87
Se 0.8308 0.9147 0.0523  2 Sb 2.74-2.87
Se 0.5853 0.6376 0.4160  2 Sb 2.74-2.87
Se 0.5840 0.7215 0.6692  2 Sb 2.74-2.87
Se 0.5523 0.3308 0.9147  2 Sb 2.74-2.87
Se 0.7785 0.3308 0.9160  2 Sb 2.74-2.87
Se 0.9160 0.0853 0.6376  2 Sb 2.74-2.87
Se 0.9477 0.3624 0.2785  2 Sb 2.74-2.87
Se 0.2785 0.4160 0.8308  2 Sb 2.74-2.87
Se 0.3624 0.4147 0.0840  2 Sb 2.74-2.87
Se 0.2215 0.5523 0.6376  2 Sb 2.74-2.87
Se 0.5840 0.8624 0.4147  2 Sb 2.74-2.87
Se 0.4147 0.0523 0.3308  2 Sb 2.74-2.87
Se 0.4160 0.2785 0.3308  2 Sb 2.74-2.87
Se 0.8308 0.9160 0.2785  2 Sb 2.74-2.87
Se 0.1692 0.0840 0.7215  2 Sb 2.74-2.87
Se 0.9147 0.0840 0.8624  2 Sb 2.74-2.87
Se 0.0840 0.1692 0.2215  2 Sb 2.74-2.87
Se 0.4477 0.7785 0.8624  2 Sb 2.74-2.87
Se 0.3308 0.5523 0.4147  2 Sb 2.74-2.87
Se 0.4147 0.3624 0.5840  2 Sb 2.74-2.87
Sm 0.1250 0.8750 0.7500  8 Se 3.13-3.14
Sm 0.6250 0.2500 0.3750  8 Se 3.13-3.14
Sm 0.8750 0.7500 0.1250  8 Se 3.13-3.14
Sm 0.8750 0.1250 0.2500  8 Se 3.13-3.14
Sm 0.7500 0.8750 0.6250  8 Se 3.13-3.14
Sm 0.3750 0.7500 0.6250  8 Se 3.13-3.14
Sm 0.1250 0.2500 0.8750  8 Se 3.13-3.14
Sm 0.2500 0.6250 0.8750  8 Se 3.13-3.14
Sm 0.6250 0.3750 0.7500  8 Se 3.13-3.14
Sm 0.3750 0.6250 0.2500  8 Se 3.13-3.14
Sm 0.7500 0.3750 0.1250  8 Se 3.13-3.14
Sm 0.2500 0.1250 0.3750  8 Se 3.13-3.14
Sb 0.5000 0.0000 0.0000  6 Se 2.87
Sb 0.0000 0.5000 0.0000  6 Se 2.87
Sb 0.7500 0.6250 0.3750  4 Se 2.74
Sb 0.1250 0.7500 0.3750  4 Se 2.74
Sb 0.5000 0.0000 0.5000  6 Se 2.87
Sb 0.3750 0.1250 0.7500  4 Se 2.74
Sb 0.5000 0.5000 0.0000  6 Se 2.87
Sb 0.0000 0.0000 0.5000  6 Se 2.87
Sb 0.8750 0.6250 0.7500  4 Se 2.74
Sb 0.2500 0.8750 0.1250  4 Se 2.74
Sb 0.5000 0.5000 0.5000  6 Se 2.87
Sb 0.7500 0.1250 0.8750  4 Se 2.74
Sb 0.6250 0.7500 0.8750  4 Se 2.74
Sb 0.1250 0.3750 0.2500  4 Se 2.74
Sb 0.6250 0.8750 0.2500  4 Se 2.74
Sb 0.8750 0.2500 0.6250  4 Se 2.74
Sb 0.2500 0.3750 0.6250  4 Se 2.74
Sb 0.0000 0.0000 0.0000  6 Se 2.87
Sb 0.3750 0.2500 0.1250  4 Se 2.74
Sb 0.0000 0.5000 0.5000  6 Se 2.87

Results
Space-group type: Ia-3d (230)
Calculated density in g/cm3: 5.41
Raw formation energy in meV/atom: -711

No. 2
A relaxed structure of Sm4Sb2Se. Source: Alexandria, functional PBE.

a b c (Å): 7.6874 6.5315 9.5062
angles (deg): 90.00 115.80 90.00
With the nearest neighbours (Å) after each atom.
Positions (direct):
Sm 0.8245 0.2500 0.1349  1 Se 2.76
Sm 0.9518 0.2500 0.5999  1 Se 2.83
Sm 0.5242 0.9982 0.7256  1 Se 2.89, 1 Sb 3.20
Sm 0.1755 0.7500 0.8651  1 Se 2.76
Sm 0.4758 0.4982 0.2744  1 Se 2.89, 1 Sb 3.20
Sm 0.0482 0.7500 0.4001  1 Se 2.83
Sm 0.4758 0.0018 0.2744  1 Se 2.89, 1 Sb 3.20
Sm 0.5242 0.5018 0.7256  1 Se 2.89, 1 Sb 3.20
Se 0.1337 0.7500 0.1386  4 Sm 2.76-2.89
Se 0.8663 0.2500 0.8614  4 Sm 2.76-2.89
Sb 0.6486 0.7500 0.0648  8 Sm 3.28-3.49, 1 Se 3.48
Sb 0.7731 0.7500 0.5709  8 Sm 3.14-3.51
Sb 0.2269 0.2500 0.4291  8 Sm 3.14-3.51
Sb 0.3514 0.2500 0.9352  8 Sm 3.28-3.49, 1 Se 3.48

Results
Space-group type: P2_1/m (11)
Excess energy over the best structure of this formula in the dataset in eV/atom: 0.180
Calculated density in g/cm3: 7.14
Raw formation energy in meV/atom: -992

No. 3
A relaxed structure of Sm2SbSe5. Source: Alexandria, functional PBE.

a b c (Å): 4.1238 8.1574 12.1265
angles (deg): 90.00 90.00 90.00
With the nearest neighbours (Å) after each atom.
Positions (direct):
Se 0.5000 0.1760 0.0983  2 Sb 2.78, 2 Sm 3.00-3.05
Se 0.5000 0.8240 0.9017  2 Sb 2.78, 2 Sm 3.00-3.05
Se 0.0000 0.6810 0.6982  1 Sb 2.82, 4 Sm 3.11-3.13
Se 0.0000 0.0000 0.5000  4 Sm 2.96
Se 0.5000 0.3240 0.5983  2 Sb 2.78, 2 Sm 3.00-3.05
Se 0.5000 0.6760 0.4017  2 Sb 2.78, 2 Sm 3.00-3.05
Se 0.0000 0.5000 0.0000  4 Sm 2.96
Se 0.0000 0.3190 0.3018  1 Sb 2.82, 4 Sm 3.11-3.13
Se 0.0000 0.1810 0.8018  1 Sb 2.82, 4 Sm 3.11-3.13
Se 0.0000 0.8190 0.1982  1 Sb 2.82, 4 Sm 3.11-3.13
Sm 0.5000 0.9679 0.6743  8 Se 2.96-3.13
Sm 0.5000 0.5321 0.1743  8 Se 2.96-3.13
Sm 0.5000 0.0321 0.3257  8 Se 2.96-3.13
Sm 0.5000 0.4679 0.8257  8 Se 2.96-3.13
Sb 0.0000 0.0000 0.0000  6 Se 2.78-2.82
Sb 0.0000 0.5000 0.5000  6 Se 2.78-2.82

Results
Space-group type: Pbam (55)
Excess energy over the best structure of this formula in the dataset in eV/atom: 0.000
Calculated density in g/cm3: 6.65
Raw formation energy in meV/atom: -1238